No. 1
# PBE CaHo2Tc, relaxed
data_CaHo2Tc
_chemical_formula_sum 'Ca1 Ho2 Tc1'
_symmetry_space_group_name_H-M 'P 4/m m m'
_symmetry_Int_Tables_number 123
_symmetry_space_group_name_Hall '-P 4 2'
_cell_length_a 3.4931
_cell_length_b 3.4931
_cell_length_c 9.1738
_cell_angle_alpha 90.00
_cell_angle_beta 90.00
_cell_angle_gamma 90.00
loop_
_atom_site_label
_atom_site_fract_x
_atom_site_fract_y
_atom_site_fract_z
Ca1 0.0000 0.0000 0.0000
Ho1 0.5000 0.5000 0.3256
Tc1 0.0000 0.0000 0.5000
# Total magnetic moment in Bohr magnetons per cell: 0.00
# Energy above the most stable polymorph in this dataset in meV per atom: 0
# Calculated total energy in eV per atom: -5.395
# Energy of formation in eV/atom: -0.014



No. 2
# PBE CaHoTc4, relaxed
data_CaHoTc4
_chemical_formula_sum 'Ca4 Ho4 Tc16'
_symmetry_space_group_name_H-M 'F -4 3 m'
_symmetry_Int_Tables_number 216
_symmetry_space_group_name_Hall 'F -4 2 3'
_cell_length_a 7.6335
_cell_length_b 7.6335
_cell_length_c 7.6335
_cell_angle_alpha 90.00
_cell_angle_beta 90.00
_cell_angle_gamma 90.00
loop_
_atom_site_label
_atom_site_fract_x
_atom_site_fract_y
_atom_site_fract_z
Ca1 0.0000 0.0000 0.0000
Ho1 0.2500 0.2500 0.2500
Tc1 0.1249 0.1249 0.6249
# Total magnetic moment in Bohr magnetons per cell: 0.00
# Calculated total energy in eV per atom: -7.968
# Energy of formation in eV/atom: 0.039



No. 3
# PBE Ca4Ho3Te8, relaxed
data_Ca4Ho3Te8
_chemical_formula_sum 'Ca12 Ho9 Te24'
_symmetry_space_group_name_H-M 'R -3 m'
_symmetry_Int_Tables_number 166
_symmetry_space_group_name_Hall '-R 3 2"'
_cell_length_a 8.8012
_cell_length_b 8.8012
_cell_length_c 24.2304
_cell_angle_alpha 90.00
_cell_angle_beta 90.00
_cell_angle_gamma 120.00
loop_
_atom_site_label
_atom_site_fract_x
_atom_site_fract_y
_atom_site_fract_z
Ca1 0.0000 0.0000 0.0000
Ca2 0.0000 0.0000 0.1441
Ca3 0.0000 0.0000 0.5000
Ho1 0.0000 0.5000 0.0000
Te1 0.0000 0.0000 0.2661
Te2 0.0102 0.5051 0.2561
# Total magnetic moment in Bohr magnetons per cell: 0.00
# Calculated total energy in eV per atom: -4.518
# Energy relative to the elements, uncorrected in eV per atom: -1.393



No. 4
# PBE CaHo3Te6, relaxed
data_CaHo3Te6
_chemical_formula_sum 'Ca2 Ho6 Te12'
_symmetry_space_group_name_H-M 'P 1 21/m 1'
_symmetry_Int_Tables_number 11
_cell_length_a 12.9987
_cell_length_b 4.3368
_cell_length_c 13.0660
_cell_angle_alpha 90.00
_cell_angle_beta 113.38
_cell_angle_gamma 90.00
loop_
_symmetry_equiv_pos_as_xyz
'x,y,z'
'-x,-y,-z'
'-x,y+1/2,-z'
'x,-y+1/2,z'
loop_
_atom_site_label
_atom_site_fract_x
_atom_site_fract_y
_atom_site_fract_z
Ca1 0.2133 0.2500 0.0517
Ho1 0.0211 0.7500 0.2816
Ho2 0.3387 0.2500 0.4336
Ho3 0.4074 0.7500 0.8353
Te1 0.0378 0.7500 0.9028
Te2 0.1141 0.2500 0.4535
Te3 0.2317 0.2500 0.7794
Te4 0.2471 0.7500 0.2551
Te5 0.4110 0.7500 0.0733
Te6 0.4427 0.7500 0.6121
# Total magnetic moment in Bohr magnetons per cell: 0.00
# Calculated total energy in eV per atom: -4.756
# Energy relative to the elements, uncorrected in eV per atom: -1.298